*P*
# As2PAuSe

A relaxed As2PAuSe crystal (PBE, Alexandria via LeMat-Bulk).

Properties
Its density of states at the Fermi level is 0.93 states/eV/atom.

Lattice parameters (Å, degrees): 4.7392 4.7392 4.8633 90.00 90.00 90.00
Last column: nearest neighbours and their distance in Å.
Fractional coordinates of all 5 atoms:
Se 0.0000 0.0000 0.5000  2 P 2.43
Au 0.5000 0.5000 0.5000  4 Se 3.35, 8 As 3.40
As 0.5000 0.0000 0.0000  2 P 2.37
P 0.0000 0.0000 0.0000  4 As 2.37, 2 Se 2.43
As 0.0000 0.5000 0.0000  2 P 2.37



*Q*
# As2PAuSe

A relaxed As2PAuSe crystal (PBE, Alexandria via LeMat-Bulk).

Properties
Its density of states at the Fermi level is 1.23 states/eV/atom.

Lattice parameters (Å, degrees): 4.9804 4.9804 5.0896 90.00 90.00 90.00
Last column: nearest neighbours and their distance in Å.
Fractional coordinates of all 5 atoms:
P 0.5000 0.5000 0.5000  4 Se 3.52, 8 As 3.56
As 0.5000 0.0000 0.0000  2 Au 2.49
Se 0.0000 0.0000 0.5000  2 Au 2.54
As 0.0000 0.5000 0.0000  2 Au 2.49
Au 0.0000 0.0000 0.0000  4 As 2.49, 2 Se 2.54



Stability summary - winner: *P*; margin: 381 meV/atom.



*P*
# PaAsAu

A relaxed PaAsAu crystal (PBE, Alexandria via LeMat-Bulk).

Properties
Its density of states at the Fermi level is 1.55 states/eV/atom.

Lattice parameters (Å, degrees): 4.1162 4.3727 4.3727 120.00 90.00 90.00
Last column: nearest neighbours and their distance in Å.
Fractional coordinates of all 3 atoms:
Au 0.2957 0.3333 0.6667  3 As 2.72, 3 Pa 2.93
Pa 0.6561 0.6667 0.3333  3 Au 2.93, 3 As 3.00
As 0.0482 0.0000 0.0000  3 Au 2.72, 3 Pa 3.00



*Q*
# PaAsAu

A relaxed PaAsAu crystal (PBE, Alexandria via LeMat-Bulk).

Properties
Its density of states at the Fermi level is 1.27 states/eV/atom.

Lattice parameters (Å, degrees): 3.8036 3.8036 5.2608 111.19 111.19 90.00
Last column: nearest neighbours and their distance in Å.
Fractional coordinates of all 3 atoms:
As 0.3270 0.3270 0.6541  5 Au 2.95-3.11, 5 Pa 3.03-3.12
Au 0.0005 0.0005 0.0011  5 As 2.95-3.11, 5 Pa 2.97-3.11
Pa 0.6724 0.6724 0.3448  5 Au 2.97-3.11, 5 As 3.03-3.12



Stability summary - winner: *Q*; margin: 15 meV/atom.



*P*
# As2PdAu

A relaxed As2PdAu crystal (PBE, Alexandria via LeMat-Bulk).

Properties
Its density of states at the Fermi level is 0.49 states/eV/atom.

Lattice parameters (Å, degrees): 6.4102 6.4102 6.2435 59.11 59.11 90.00
Last column: nearest neighbours and their distance in Å.
Fractional coordinates of all 8 atoms:
As 0.1385 0.6250 0.2500  2 Pd 2.45, 2 Au 2.56
Pd 0.5000 0.5000 0.0000  4 As 2.45
Au 0.0000 0.0000 0.0000  4 As 2.56
As 0.3750 0.3885 0.7500  2 Pd 2.45, 2 Au 2.56
As 0.6115 0.1250 0.2500  2 Pd 2.45, 2 Au 2.56
Au 0.7500 0.2500 0.5000  4 As 2.56
Pd 0.2500 0.7500 0.5000  4 As 2.45
As 0.8750 0.8615 0.7500  2 Pd 2.45, 2 Au 2.56



*Q*
# As2PdAu

A relaxed As2PdAu crystal (PBE, Alexandria via LeMat-Bulk).

Properties
Its density of states at the Fermi level is 0.33 states/eV/atom.

Lattice parameters (Å, degrees): 3.5814 3.5814 8.0677 77.18 77.18 60.00
Last column: nearest neighbours and their distance in Å.
Fractional coordinates of all 4 atoms:
As 0.1051 0.1051 0.6847  1 Au 2.46, 3 Pd 2.52
Pd 0.5000 0.5000 0.5000  6 As 2.52
As 0.8949 0.8949 0.3153  1 Au 2.46, 3 Pd 2.52
Au 0.0000 0.0000 0.0000  2 As 2.46



Stability summary - winner: *Q*; margin: 125 meV/atom.



*P*
# As2Pd2Au

A relaxed As2Pd2Au crystal (PBE, Alexandria via LeMat-Bulk).

Properties
Its density of states at the Fermi level is 0.47 states/eV/atom.

Lattice parameters (Å, degrees): 7.3751 7.3751 3.1977 90.00 90.00 90.00
Last column: nearest neighbours and their distance in Å.
Fractional coordinates of all 10 atoms:
As 0.6572 0.8428 0.5000  6 Pd 2.66-2.71
Pd 0.1386 0.3614 0.0000  6 As 2.66-2.71, 2 Au 2.85, 1 Pd 2.89
As 0.1572 0.6572 0.5000  6 Pd 2.66-2.71
Pd 0.3614 0.8614 0.0000  6 As 2.66-2.71, 2 Au 2.85, 1 Pd 2.89
As 0.3428 0.1572 0.5000  6 Pd 2.66-2.71
Au 0.5000 0.5000 0.0000  4 Pd 2.85
Pd 0.8614 0.6386 0.0000  6 As 2.66-2.71, 2 Au 2.85, 1 Pd 2.89
Pd 0.6386 0.1386 0.0000  6 As 2.66-2.71, 2 Au 2.85, 1 Pd 2.89
Au 0.0000 0.0000 0.0000  4 Pd 2.85
As 0.8428 0.3428 0.5000  6 Pd 2.66-2.71



*Q*
# As2Pd2Au

A relaxed As2Pd2Au crystal (PBE, Alexandria via LeMat-Bulk).

Properties
Its density of states at the Fermi level is 0.34 states/eV/atom.

Lattice parameters (Å, degrees): 4.6300 4.6300 5.4522 64.87 64.87 90.00
Last column: nearest neighbours and their distance in Å.
Fractional coordinates of all 5 atoms:
As 0.6408 0.6408 0.7185  1 As 2.45, 4 Pd 2.50
As 0.3592 0.3592 0.2815  1 As 2.45, 4 Pd 2.50
Pd 0.2500 0.7500 0.5000  4 As 2.50
Pd 0.7500 0.2500 0.5000  4 As 2.50
Au 0.0000 0.0000 0.0000  10 As 3.13-3.50, 8 Pd 3.18



Stability summary - winner: *P*; margin: 89 meV/atom.